Entry 1:
The following is a DFT calculation (meta-GGA SCAN) of Y3Al5O12 at its PBEsol-relaxed geometry.

Geometry as POSCAR:
```
Y3Al5O12
1.0
-8.637 0.091 -5.764
-2.187 -3.694 9.456
3.708 9.664 0.831
Y Al O
12 20 48
Direct
0.125 0.750 0.875
0.125 0.375 0.750
0.375 0.125 0.250
0.750 0.375 0.625
0.250 0.125 0.875
0.375 0.250 0.625
0.875 0.250 0.125
0.875 0.625 0.250
0.625 0.875 0.750
0.250 0.625 0.375
0.750 0.875 0.125
0.625 0.750 0.375
0.875 0.750 0.625
0.125 0.250 0.375
0.250 0.875 0.625
0.875 0.125 0.750
0.750 0.625 0.875
0.625 0.375 0.250
0.625 0.250 0.875
0.125 0.875 0.250
0.375 0.625 0.750
0.250 0.375 0.125
0.750 0.125 0.375
0.375 0.750 0.125
0.500 0.000 0.500
0.000 0.000 0.500
0.500 0.000 0.000
0.000 0.500 0.000
0.000 0.000 0.000
0.000 0.500 0.500
0.500 0.500 0.000
0.500 0.500 0.500
0.119 0.200 0.521
0.918 0.321 0.800
0.300 0.918 0.821
0.321 0.300 0.418
0.479 0.300 0.881
0.582 0.381 0.402
0.918 0.598 0.619
0.598 0.479 0.679
0.021 0.902 0.821
0.321 0.021 0.402
0.598 0.119 0.418
0.902 0.321 0.521
0.381 0.479 0.800
0.300 0.381 0.979
0.119 0.918 0.098
0.200 0.179 0.082
0.179 0.582 0.700
0.381 0.902 0.082
0.179 0.598 0.979
0.979 0.098 0.179
0.021 0.119 0.700
0.902 0.582 0.881
0.200 0.021 0.619
0.582 0.200 0.679
0.881 0.800 0.479
0.082 0.679 0.200
0.700 0.082 0.179
0.679 0.700 0.582
0.521 0.700 0.119
0.418 0.619 0.598
0.082 0.402 0.381
0.402 0.521 0.321
0.418 0.800 0.321
0.800 0.979 0.381
0.098 0.418 0.119
0.521 0.821 0.902
0.979 0.881 0.300
0.821 0.402 0.021
0.619 0.098 0.918
0.821 0.418 0.300
0.800 0.821 0.918
0.881 0.082 0.902
0.700 0.619 0.021
0.619 0.521 0.200
0.098 0.679 0.479
0.402 0.881 0.582
0.679 0.979 0.598
0.479 0.179 0.098
```

The calculation puts the total energy at -13.49 eV/atom. For the uncorrected formation energy, the calculation gives -3.641 eV/atom. The space-group type is Ia-3d.

---

Entry 2:
The following is a DFT calculation (meta-GGA SCAN) of Al10ZnO16 at its PBEsol-relaxed geometry.

Geometry as POSCAR:
```
Al10ZnO16
1.0
-5.515 -1.096 -0.742
-1.613 -4.311 -3.313
-2.236 -7.351 5.800
Al Zn O
10 1 16
Direct
0.499 0.499 0.504
0.692 0.692 0.925
0.245 0.751 0.760
0.245 0.245 0.760
0.759 0.759 0.238
0.189 0.189 0.432
0.244 0.759 0.238
0.751 0.245 0.760
0.759 0.244 0.238
0.310 0.310 0.070
0.810 0.810 0.570
0.163 0.601 0.635
0.601 0.601 0.635
0.623 0.623 0.131
0.883 0.883 0.859
0.122 0.122 0.633
0.376 0.883 0.859
0.389 0.850 0.372
0.883 0.376 0.859
0.601 0.163 0.635
0.619 0.120 0.141
0.120 0.619 0.141
0.120 0.120 0.141
0.376 0.376 0.872
0.883 0.883 0.352
0.389 0.389 0.372
0.850 0.389 0.372
```

The calculation puts the total energy at -10.29 eV/atom. For the uncorrected formation energy, the calculation gives -3.225 eV/atom. The space-group type is R3m.

---

Entry 3:
The following is a DFT calculation (meta-GGA SCAN) of Zr2AlO at its PBEsol-relaxed geometry.

Geometry as POSCAR:
```
Zr2AlO
1.0
-1.821 -3.559 2.152
-0.519 -3.949 -2.180
2.596 -3.559 1.100
O Al Zr
1 1 2
Direct
0.000 0.000 0.000
0.500 0.500 0.500
0.250 0.250 0.250
0.750 0.750 0.750
```

The calculation puts the total energy at -19.15 eV/atom. For the uncorrected formation energy, the calculation gives -0.306 eV/atom. The space-group type is Fm-3m.

---

Entry 4:
The following is a DFT calculation (meta-GGA SCAN) of ZrAlO3 at its PBEsol-relaxed geometry.

Geometry as POSCAR:
```
ZrAlO3
1.0
4.082 0.000 0.000
0.000 4.082 0.000
0.000 0.000 4.082
Al O Zr
1 3 1
Direct
0.000 0.000 0.000
0.000 0.500 0.500
0.500 0.000 0.500
0.500 0.500 0.000
0.500 0.500 0.500
```

The calculation puts the total energy at -13.59 eV/atom. For the uncorrected formation energy, the calculation gives -2.159 eV/atom. The space-group type is Pm-3m.

---

Entry 5:
The following is a DFT calculation (meta-GGA SCAN) of AlOs2 at its PBEsol-relaxed geometry.

Geometry as POSCAR:
```
AlOs2
1.0
4.037 0.000 0.000
2.018 3.496 0.000
2.018 1.165 3.296
Os Al
2 1
Direct
0.750 0.750 0.750
0.250 0.250 0.250
0.000 0.000 0.000
```

The calculation puts the total energy at -49.90 eV/atom. Its energy of formation is 0.606 eV per atom. The space-group type is Fm-3m.

---

Entry 6:
The following is a DFT calculation (meta-GGA SCAN) of AlOs5 at its PBEsol-relaxed geometry.

Geometry as POSCAR:
```
AlOs5
1.0
-0.743 2.088 1.623
-3.959 -0.746 -3.177
-1.070 -4.103 4.788
Os Al
5 1
Direct
0.665 0.330 0.334
0.328 0.656 0.659
0.383 0.766 0.283
0.055 0.110 0.613
0.730 0.459 0.938
0.006 0.012 0.007
```

The calculation puts the total energy at -61.30 eV/atom. Its energy of formation is -0.103 eV per atom. The space-group type is Cm.

---

Question: Which formula does entry 3 have?
Answer: Zr2AlO